1) A plane-wave DFT calculation with GGA-PBEsol was carried out for an optimized crystal structure of Co2ReOs.

```
data_Co2ReOs
_symmetry_space_group_name_H-M 'P 1'
_symmetry_Int_Tables_number 1
_cell_length_a 2.585
_cell_length_b 4.463
_cell_length_c 4.463
_cell_angle_alpha 109.29
_cell_angle_beta 90.00
_cell_angle_gamma 90.00
loop_
_symmetry_equiv_pos_as_xyz
'x,y,z'
loop_
_atom_site_label
_atom_site_type_symbol
_atom_site_fract_x
_atom_site_fract_y
_atom_site_fract_z
Os1 Os 0.500 0.000 0.000
Re1 Re 0.500 0.500 0.500
Co1 Co 0.000 0.500 0.000
Co2 Co 0.000 0.000 0.500
```

Spin magnetization ... 0.150 μB/atom
Space-group type ... Cmmm, No. 65

2) A plane-wave DFT calculation with GGA-PBEsol was carried out for an optimized crystal structure of Co2ReOs.

```
data_Co2ReOs
_symmetry_space_group_name_H-M 'P 1'
_symmetry_Int_Tables_number 1
_cell_length_a 3.663
_cell_length_b 3.663
_cell_length_c 4.470
_cell_angle_alpha 114.19
_cell_angle_beta 114.19
_cell_angle_gamma 90.00
loop_
_symmetry_equiv_pos_as_xyz
'x,y,z'
loop_
_atom_site_label
_atom_site_type_symbol
_atom_site_fract_x
_atom_site_fract_y
_atom_site_fract_z
Co1 Co 0.250 0.750 0.500
Co2 Co 0.000 0.000 0.000
Re1 Re 0.750 0.250 0.500
Os1 Os 0.500 0.500 0.000
```

Spin magnetization ... 0.325 μB/atom
Space-group type ... I-4m2, No. 119

2) (0.062 eV/atom below the next structure)

1) A plane-wave DFT calculation with GGA-PBEsol was carried out for an optimized crystal structure of CoRe2Os.

```
data_CoRe2Os
_symmetry_space_group_name_H-M 'P 1'
_symmetry_Int_Tables_number 1
_cell_length_a 2.702
_cell_length_b 4.251
_cell_length_c 4.648
_cell_angle_alpha 90.00
_cell_angle_beta 90.00
_cell_angle_gamma 90.00
loop_
_symmetry_equiv_pos_as_xyz
'x,y,z'
loop_
_atom_site_label
_atom_site_type_symbol
_atom_site_fract_x
_atom_site_fract_y
_atom_site_fract_z
Re1 Re 0.000 0.000 0.037
Re2 Re 0.000 0.500 0.697
Os1 Os 0.500 0.500 0.214
Co1 Co 0.500 0.000 0.551
```

Spin magnetization ... 0.000 μB/atom
Space-group type ... Pmm2, No. 25

2) A plane-wave DFT calculation with GGA-PBEsol was carried out for an optimized crystal structure of CoRe2Os.

```
data_CoRe2Os
_symmetry_space_group_name_H-M 'P 1'
_symmetry_Int_Tables_number 1
_cell_length_a 3.772
_cell_length_b 3.772
_cell_length_c 4.599
_cell_angle_alpha 114.21
_cell_angle_beta 114.21
_cell_angle_gamma 90.00
loop_
_symmetry_equiv_pos_as_xyz
'x,y,z'
loop_
_atom_site_label
_atom_site_type_symbol
_atom_site_fract_x
_atom_site_fract_y
_atom_site_fract_z
Co1 Co 0.500 0.500 0.000
Re1 Re 0.250 0.750 0.500
Re2 Re 0.750 0.250 0.500
Os1 Os 0.000 0.000 0.000
```

Spin magnetization ... 0.000 μB/atom
Space-group type ... I4/mmm, No. 139

1) (0.090 eV/atom below the next structure)

1) A plane-wave DFT calculation with GGA-PBEsol was carried out for an optimized crystal structure of CoReOs.

```
data_CoReOs
_symmetry_space_group_name_H-M 'P 1'
_symmetry_Int_Tables_number 1
_cell_length_a 4.034
_cell_length_b 4.034
_cell_length_c 4.034
_cell_angle_alpha 60.00
_cell_angle_beta 60.00
_cell_angle_gamma 60.00
loop_
_symmetry_equiv_pos_as_xyz
'x,y,z'
loop_
_atom_site_label
_atom_site_type_symbol
_atom_site_fract_x
_atom_site_fract_y
_atom_site_fract_z
Co1 Co 0.000 0.000 0.000
Os1 Os 0.500 0.500 0.500
Re1 Re 0.250 0.250 0.250
```

Spin magnetization ... 0.000 μB/atom
Space-group type ... F-43m, No. 216

2) A plane-wave DFT calculation with GGA-PBEsol was carried out for an optimized crystal structure of CoReOs.

```
data_CoReOs
_symmetry_space_group_name_H-M 'P 1'
_symmetry_Int_Tables_number 1
_cell_length_a 3.948
_cell_length_b 3.948
_cell_length_c 3.948
_cell_angle_alpha 60.00
_cell_angle_beta 60.00
_cell_angle_gamma 60.00
loop_
_symmetry_equiv_pos_as_xyz
'x,y,z'
loop_
_atom_site_label
_atom_site_type_symbol
_atom_site_fract_x
_atom_site_fract_y
_atom_site_fract_z
Co1 Co 0.250 0.250 0.250
Os1 Os 0.000 0.000 0.000
Re1 Re 0.500 0.500 0.500
```

Spin magnetization ... 0.238 μB/atom
Space-group type ... F-43m, No. 216

1) (0.186 eV/atom below the next structure)

1) A plane-wave DFT calculation with GGA-PBEsol was carried out for an optimized crystal structure of CoOs2Rh.

```
data_CoOs2Rh
_symmetry_space_group_name_H-M 'P 1'
_symmetry_Int_Tables_number 1
_cell_length_a 2.633
_cell_length_b 2.633
_cell_length_c 8.829
_cell_angle_alpha 90.00
_cell_angle_beta 90.00
_cell_angle_gamma 118.10
loop_
_symmetry_equiv_pos_as_xyz
'x,y,z'
loop_
_atom_site_label
_atom_site_type_symbol
_atom_site_fract_x
_atom_site_fract_y
_atom_site_fract_z
Os1 Os 0.000 0.000 0.010
Os2 Os 0.500 0.500 0.750
Co1 Co 0.500 0.500 0.250
Rh1 Rh 0.000 0.000 0.490
```

Spin magnetization ... 0.627 μB/atom
Space-group type ... Cmm2, No. 35

2) A plane-wave DFT calculation with GGA-PBEsol was carried out for an optimized crystal structure of CoOs2Rh.

```
data_CoOs2Rh
_symmetry_space_group_name_H-M 'P 1'
_symmetry_Int_Tables_number 1
_cell_length_a 2.633
_cell_length_b 2.633
_cell_length_c 7.428
_cell_angle_alpha 90.00
_cell_angle_beta 90.00
_cell_angle_gamma 90.00
loop_
_symmetry_equiv_pos_as_xyz
'x,y,z'
loop_
_atom_site_label
_atom_site_type_symbol
_atom_site_fract_x
_atom_site_fract_y
_atom_site_fract_z
Os1 Os 0.000 0.000 0.263
Os2 Os 0.000 0.000 0.737
Co1 Co 0.500 0.500 0.500
Rh1 Rh 0.500 0.500 0.000
```

Spin magnetization ... 0.188 μB/atom
Space-group type ... P4/mmm, No. 123

2) (0.375 eV/atom below the next structure)

1) A plane-wave DFT calculation with GGA-PBEsol was carried out for an optimized crystal structure of CoSb2Os.

```
data_CoSb2Os
_symmetry_space_group_name_H-M 'P 1'
_symmetry_Int_Tables_number 1
_cell_length_a 3.148
_cell_length_b 3.148
_cell_length_c 8.027
_cell_angle_alpha 78.69
_cell_angle_beta 78.69
_cell_angle_gamma 60.00
loop_
_symmetry_equiv_pos_as_xyz
'x,y,z'
loop_
_atom_site_label
_atom_site_type_symbol
_atom_site_fract_x
_atom_site_fract_y
_atom_site_fract_z
Os1 Os 0.000 0.000 0.000
Sb1 Sb 0.754 0.754 0.738
Sb2 Sb 0.246 0.246 0.262
Co1 Co 0.500 0.500 0.500
```

Spin magnetization ... 0.159 μB/atom
Space-group type ... R-3m, No. 166

2) A plane-wave DFT calculation with GGA-PBEsol was carried out for an optimized crystal structure of CoSb2Os.

```
data_CoSb2Os
_symmetry_space_group_name_H-M 'P 1'
_symmetry_Int_Tables_number 1
_cell_length_a 3.174
_cell_length_b 4.348
_cell_length_c 5.404
_cell_angle_alpha 101.83
_cell_angle_beta 90.00
_cell_angle_gamma 111.40
loop_
_symmetry_equiv_pos_as_xyz
'x,y,z'
loop_
_atom_site_label
_atom_site_type_symbol
_atom_site_fract_x
_atom_site_fract_y
_atom_site_fract_z
Sb1 Sb 0.749 0.498 0.745
Sb2 Sb 0.251 0.502 0.255
Os1 Os 0.500 0.000 0.000
Co1 Co 0.000 0.000 0.500
```

Spin magnetization ... 0.153 μB/atom
Space-group type ... C2/m, No. 12

1) (0.045 eV/atom below the next structure)

1) A plane-wave DFT calculation with GGA-PBEsol was carried out for an optimized crystal structure of Sc2CoOs.

```
data_Sc2CoOs
_symmetry_space_group_name_H-M 'P 1'
_symmetry_Int_Tables_number 1
_cell_length_a 3.133
_cell_length_b 4.433
_cell_length_c 4.433
_cell_angle_alpha 90.00
_cell_angle_beta 90.00
_cell_angle_gamma 90.00
loop_
_symmetry_equiv_pos_as_xyz
'x,y,z'
loop_
_atom_site_label
_atom_site_type_symbol
_atom_site_fract_x
_atom_site_fract_y
_atom_site_fract_z
Sc1 Sc 0.000 0.500 0.000
Sc2 Sc 0.000 0.000 0.500
Co1 Co 0.500 0.500 0.500
Os1 Os 0.500 0.000 0.000
```

Spin magnetization ... 0.000 μB/atom
Space-group type ... P4/mmm, No. 123

2) A plane-wave DFT calculation with GGA-PBEsol was carried out for an optimized crystal structure of Sc2CoOs.

```
data_Sc2CoOs
_symmetry_space_group_name_H-M 'P 1'
_symmetry_Int_Tables_number 1
_cell_length_a 3.020
_cell_length_b 3.020
_cell_length_c 8.173
_cell_angle_alpha 79.35
_cell_angle_beta 79.35
_cell_angle_gamma 60.00
loop_
_symmetry_equiv_pos_as_xyz
'x,y,z'
loop_
_atom_site_label
_atom_site_type_symbol
_atom_site_fract_x
_atom_site_fract_y
_atom_site_fract_z
Sc1 Sc 0.247 0.247 0.260
Sc2 Sc 0.753 0.753 0.740
Co1 Co 0.500 0.500 0.500
Os1 Os 0.000 0.000 0.000
```

Spin magnetization ... 0.043 μB/atom
Space-group type ... R-3m, No. 166

1) (0.369 eV/atom below the next structure)

1) A plane-wave DFT calculation with GGA-PBEsol was carried out for an optimized crystal structure of ScCo2Os.

```
data_ScCo2Os
_symmetry_space_group_name_H-M 'P 1'
_symmetry_Int_Tables_number 1
_cell_length_a 4.240
_cell_length_b 4.240
_cell_length_c 4.240
_cell_angle_alpha 60.00
_cell_angle_beta 60.00
_cell_angle_gamma 60.00
loop_
_symmetry_equiv_pos_as_xyz
'x,y,z'
loop_
_atom_site_label
_atom_site_type_symbol
_atom_site_fract_x
_atom_site_fract_y
_atom_site_fract_z
Sc1 Sc 0.250 0.250 0.250
Os1 Os 0.500 0.500 0.500
Co1 Co 0.750 0.750 0.750
Co2 Co 0.000 0.000 0.000
```

Spin magnetization ... 1.000 μB/atom
Space-group type ... F-43m, No. 216

2) A plane-wave DFT calculation with GGA-PBEsol was carried out for an optimized crystal structure of ScCo2Os.

```
data_ScCo2Os
_symmetry_space_group_name_H-M 'P 1'
_symmetry_Int_Tables_number 1
_cell_length_a 2.730
_cell_length_b 4.060
_cell_length_c 4.865
_cell_angle_alpha 90.00
_cell_angle_beta 106.25
_cell_angle_gamma 90.00
loop_
_symmetry_equiv_pos_as_xyz
'x,y,z'
loop_
_atom_site_label
_atom_site_type_symbol
_atom_site_fract_x
_atom_site_fract_y
_atom_site_fract_z
Co1 Co 0.800 0.000 0.974
Co2 Co 0.955 0.500 0.287
Sc1 Sc 0.219 0.500 0.813
Os1 Os 0.525 0.000 0.426
```

Spin magnetization ... 0.001 μB/atom
Space-group type ... Amm2, No. 38

3) A plane-wave DFT calculation with GGA-PBEsol was carried out for an optimized crystal structure of ScCo2Os.

```
data_ScCo2Os
_symmetry_space_group_name_H-M 'P 1'
_symmetry_Int_Tables_number 1
_cell_length_a 3.071
_cell_length_b 3.071
_cell_length_c 5.753
_cell_angle_alpha 90.00
_cell_angle_beta 90.00
_cell_angle_gamma 90.00
loop_
_symmetry_equiv_pos_as_xyz
'x,y,z'
loop_
_atom_site_label
_atom_site_type_symbol
_atom_site_fract_x
_atom_site_fract_y
_atom_site_fract_z
Co1 Co 0.000 0.000 0.217
Co2 Co 0.000 0.000 0.783
Os1 Os 0.500 0.500 0.000
Sc1 Sc 0.500 0.500 0.500
```

Spin magnetization ... 0.581 μB/atom
Space-group type ... P4/mmm, No. 123

2) (0.175 eV/atom below the next structure)

1) A plane-wave DFT calculation with GGA-PBEsol was carried out for an optimized crystal structure of ScCoOs.

```
data_ScCoOs
_symmetry_space_group_name_H-M 'P 1'
_symmetry_Int_Tables_number 1
_cell_length_a 3.083
_cell_length_b 3.083
_cell_length_c 5.111
_cell_angle_alpha 107.55
_cell_angle_beta 107.55
_cell_angle_gamma 90.00
loop_
_symmetry_equiv_pos_as_xyz
'x,y,z'
loop_
_atom_site_label
_atom_site_type_symbol
_atom_site_fract_x
_atom_site_fract_y
_atom_site_fract_z
Co1 Co 0.015 0.015 0.029
Os1 Os 0.651 0.651 0.302
Sc1 Sc 0.334 0.334 0.669
```

Spin magnetization ... 0.656 μB/atom
Space-group type ... I4mm, No. 107

2) A plane-wave DFT calculation with GGA-PBEsol was carried out for an optimized crystal structure of ScCoOs.

```
data_ScCoOs
_symmetry_space_group_name_H-M 'P 1'
_symmetry_Int_Tables_number 1
_cell_length_a 2.910
_cell_length_b 4.181
_cell_length_c 4.181
_cell_angle_alpha 120.00
_cell_angle_beta 90.00
_cell_angle_gamma 90.00
loop_
_symmetry_equiv_pos_as_xyz
'x,y,z'
loop_
_atom_site_label
_atom_site_type_symbol
_atom_site_fract_x
_atom_site_fract_y
_atom_site_fract_z
Co1 Co 0.000 0.000 0.000
Sc1 Sc 0.500 0.667 0.333
Os1 Os 0.000 0.333 0.667
```

Spin magnetization ... 0.000 μB/atom
Space-group type ... P-6m2, No. 187

2) (0.012 eV/atom below the next structure)